NaLaWO5: optimized geometry, GGA+U.

## Properties
For the calculated total energy, the calculation gives -229.61 eV for the cell shown. The calculation puts the magnetic moment at 0.000 μB/f.u.

Lattice parameters (Å, degrees): 7.118 11.439 8.297 90.00 113.94 90.00
Space group C2/c (No. 15)
Asymmetric unit:
Na 0.000 0.231 0.250
La 0.000 0.500 0.000
W 0.000 0.211 0.750
O 0.000 0.426 0.250
O 0.142 0.303 0.657
O 0.174 0.118 0.923